# 1
Below is a geometry-optimized Ni3SeN structure, with properties calculated at the PBE level.

The structure belongs to space group Pm-3m (No. 221); the cell edges are 4.333, 4.333 and 4.333 Å and the angles 90.00°, 90.00° and 90.00°. The asymmetric unit holds Ni at (0.000, 0.000, 0.500), Se at (0.000, 0.000, 0.000) and N at (0.500, 0.500, 0.500).

For the offset from the most stable computed form, the calculation gives 1.3526 eV/atom. The value obtained for the density is 5.493 g cm⁻³. For the magnetic moment, the calculation gives 1.9 μB/cell.

# 2
Below is a geometry-optimized NiSe2N structure, with properties calculated at the PBE level.

The structure belongs to space group R-3m (No. 166, hexagonal axes); the cell edges are 3.7463, 3.7463 and 17.5647 Å and the angles 90.00°, 90.00° and 120.00°. The asymmetric unit holds Ni at (0.0000, 0.0000, 0.0000), Se at (0.0000, 0.0000, 0.4001) and N at (0.0000, 0.0000, 0.5000).

The value obtained for the density is 5.381 g cm⁻³. The value obtained for the calculated total energy is -57.21 eV per cell. For the magnetic moment, the calculation gives 0.0 μB/cell.

# 3
Below is a geometry-optimized Ni2SeN2 structure, with properties calculated at the PBE level.

The structure belongs to space group P4/mmm (No. 123); the cell edges are 3.559, 3.559 and 5.187 Å and the angles 90.00°, 90.00° and 90.00°. The asymmetric unit holds Ni at (0.000, 0.000, 0.000), Ni at (0.000, 0.000, 0.500), Se at (0.500, 0.500, 0.000) and N at (0.000, 0.500, 0.500).

The value obtained for the density is 5.671 g cm⁻³. The value obtained for the calculated total energy is -25.67 eV per cell. For the magnetic moment, the calculation gives 2.7 μB/cell.